# MgUMn2O6 (PBE+U, relaxed)
data_MgUMn2O6
_space_group_name_H-M_alt 'P 1'
_space_group_IT_number 1
_cell_length_a 5.270
_cell_length_b 5.270
_cell_length_c 5.625
_cell_angle_alpha 62.06
_cell_angle_beta 62.06
_cell_angle_gamma 59.99
loop_
_space_group_symop_operation_xyz
'x,y,z'
loop_
_atom_site_label
_atom_site_type_symbol
_atom_site_fract_x
_atom_site_fract_y
_atom_site_fract_z
Mg1 Mg 0.814 0.814 0.559
U1 U 0.312 0.312 0.063
Mn1 Mn 0.510 0.510 0.470
Mn2 Mn 0.016 0.016 0.952
O1 O 0.628 0.239 0.253
O2 O 0.239 0.880 0.253
O3 O 0.880 0.628 0.253
O4 O 0.411 0.726 0.738
O5 O 0.726 0.126 0.738
O6 O 0.126 0.411 0.738
# raw total energy: -7.764 eV per atom